Entry 1:
SrAl6Pt2: optimized geometry, PBE-GGA.

a b c (Å): 11.322 8.120 4.248
angles (deg): 90.00 111.88 90.00
Space group C2/m (No. 12)
Unique sites:
1 Sr 0.000 0.000 0.000
2 Al 0.000 0.324 0.500
3 Al 0.194 0.324 0.195
4 Pt 0.204 0.500 0.705

Output
E_tot, eV for the cell shown: -81.62


Entry 2:
RuIOF2: optimized geometry, PBE-GGA.

a b c (Å): 4.924 4.924 3.999
angles (deg): 90.00 90.00 90.00
Space group P4/mmm (No. 123)
Unique sites:
1 Ru 0.000 0.000 0.000
2 I 0.500 0.500 0.500
3 O 0.500 0.500 0.000
4 F 0.000 0.500 0.500

Output
Energy above the most stable polymorph in this dataset, eV/atom: 0.924
Formation energy (no corrections), eV/atom: 0.376


Entry 3:
SrSiPd2Rh: optimized geometry, PBE-GGA.

a b c (Å): 5.102 5.102 4.390
angles (deg): 90.00 90.00 90.00
Space group P4/mmm (No. 123)
Unique sites:
1 Sr 0.000 0.000 0.000
2 Si 0.500 0.500 0.000
3 Pd 0.000 0.500 0.500
4 Rh 0.500 0.500 0.500

Output
Formation energy (no corrections), eV/atom: -0.028


Entry 4:
NaNiAsBr2: optimized geometry, PBE-GGA.

a b c (Å): 5.384 5.384 4.394
angles (deg): 90.00 90.00 90.00
Space group P4/mmm (No. 123)
Unique sites:
1 Na 0.000 0.000 0.000
2 Ni 0.500 0.500 0.500
3 As 0.500 0.500 0.000
4 Br 0.000 0.500 0.500

Output
Energy above the most stable polymorph in this dataset, eV/atom: 0.000
Formation energy (no corrections), eV/atom: -0.291


Entry 5:
Sm4Co2Bi: optimized geometry, PBE-GGA.

a b c (Å): 6.892 7.009 8.738
angles (deg): 107.77 107.38 103.91
Space group P1 (No. 1)
Unique sites:
1 Sm 0.000 0.000 0.000
2 Sm 0.030 0.732 0.591
3 Sm 0.309 0.154 0.450
4 Sm 0.361 0.561 0.251
5 Sm 0.450 0.577 0.846
6 Sm 0.524 0.151 0.994
7 Sm 0.781 0.127 0.392
8 Sm 0.922 0.422 0.843
9 Co 0.154 0.183 0.760
10 Co 0.315 0.843 0.079
11 Co 0.658 0.513 0.586
12 Co 0.994 0.349 0.255
13 Bi 0.596 0.900 0.645
14 Bi 0.870 0.676 0.197

Output
E_tot, eV for the cell shown: -77.13


Entry 6:
P2AuBr: optimized geometry, PBE-GGA.

a b c (Å): 3.4120 3.4120 25.7083
angles (deg): 90.00 90.00 120.00
Space group R3m (No. 160, hexagonal axes)
Unique sites:
1 P 0.0000 0.0000 0.0000
2 P 0.0000 0.0000 0.2838
3 Au 0.0000 0.0000 0.5491
4 Br 0.0000 0.0000 0.8045

Output
Energy above the most stable polymorph in this dataset, eV/atom: 0.055
Formation energy (no corrections), eV/atom: 0.167


Entry 7:
Sr3In6Pt5: optimized geometry, PBE-GGA.

a b c (Å): 4.562 13.932 10.153
angles (deg): 90.00 90.00 90.00
Space group Pmmn (No. 59, origin choice 2)
Unique sites:
1 Sr 0.250 0.052 0.249
2 Sr 0.250 0.750 0.273
3 In 0.250 0.069 0.587
4 In 0.250 0.250 0.035
5 In 0.250 0.250 0.407
6 In 0.250 0.595 0.984
7 Pt 0.250 0.092 0.862
8 Pt 0.250 0.635 0.549
9 Pt 0.250 0.750 0.794

Output
E_tot, eV for the cell shown: -122.53


Entry 8:
Pm2PS: optimized geometry, PBE-GGA.

a b c (Å): 4.086 5.772 8.194
angles (deg): 90.00 90.00 90.00
Space group Pmmn (No. 59, origin choice 2)
Unique sites:
1 Pm 0.250 0.250 0.119
2 Pm 0.250 0.250 0.633
3 P 0.250 0.750 0.128
4 S 0.250 0.750 0.622

Output
Energy above the most stable polymorph in this dataset, eV/atom: 0.003
Formation energy (no corrections), eV/atom: -1.864